DFT (PBE) results for an optimized crystal structure of La2Pr9Sc.

The structure in POSCAR format:
```
La2Pr9Sc
1.0
-3.817 0.876 3.431
3.340 -0.785 3.916
3.528 15.213 0.042
Pr La Sc
9 2 1
Direct
0.500 0.000 0.500
0.000 0.500 0.840
0.500 0.500 0.000
0.500 0.000 0.160
0.000 0.500 0.500
0.500 0.500 0.330
0.000 0.500 0.160
0.500 0.500 0.670
0.500 0.000 0.840
0.000 0.000 0.330
0.000 0.000 0.670
0.000 0.000 0.000
```

Computed properties:
The calculation puts the electronic total energy at -4.907 eV/atom.